Entry 1:
Here is a relaxed structure of GdErTi from Alexandria. Energies are from PBE.

The structure in POSCAR format:
```
GdErTi
1.0
5.204 0.000 0.000
-2.602 4.507 0.000
0.000 0.000 3.302
Gd Er Ti
1 1 1
Cartesian
0.000 0.000 0.000
2.602 1.502 1.651
0.000 3.005 0.000
```

Results
N(E_F) (states/eV/f.u.): 3.9
Uncorrected energy (eV/atom): -8.632
Energy relative to the elements (eV/atom): 0.2141
SG: P-6m2 (187)

---

Entry 2:
Here is a relaxed structure of ZrTcW3 from Alexandria. Energies are from PBE.

The structure in POSCAR format:
```
ZrTcW3
1.0
4.715 0.000 0.000
0.000 4.715 0.000
0.000 0.000 4.715
Zr Tc W
1 1 3
Cartesian
0.000 0.000 0.000
2.358 2.358 2.358
0.000 2.358 2.358
2.358 0.000 2.358
2.358 2.358 0.000
```

Results
ΔE to the lowest computed polymorph (eV/atom): 0.000
N(E_F) (states/eV/f.u.): 7.8
Uncorrected energy (eV/atom): -10.055
Energy relative to the elements (eV/atom): 1.4996
SG: Pm-3m (221)

---

Entry 3:
Here is a relaxed structure of AcGd3 from Alexandria. Energies are from PBE.

The structure in POSCAR format:
```
AcGd3
1.0
5.195 0.000 0.000
0.000 5.211 0.000
0.000 0.000 5.222
Ac Gd
1 3
Cartesian
0.000 0.000 0.000
0.000 2.605 2.611
2.598 0.000 2.611
2.598 2.605 0.000
```

Results
N(E_F) (states/eV/f.u.): 7.0
Uncorrected energy (eV/atom): -11.551
Energy relative to the elements (eV/atom): 0.0366
SG: Pmmm (47)

---

Entry 4:
Here is a relaxed structure of Sm2HoUAs4 from Alexandria. Energies are from PBE.

The structure in POSCAR format:
```
Sm2HoUAs4
1.0
7.184 0.000 0.000
0.000 4.135 0.000
-2.359 0.000 6.793
Sm Ho U As
2 1 1 4
Cartesian
0.000 0.000 0.000
3.592 2.068 0.000
-1.180 2.068 3.397
2.412 0.000 3.397
0.052 0.000 5.026
1.215 2.068 1.762
3.610 2.068 5.031
4.773 0.000 1.768
```

Results
N(E_F) (states/eV/f.u.): 8.3
Uncorrected energy (eV/atom): -6.813
Energy relative to the elements (eV/atom): -1.3255
SG: P2/m (10)

---

Entry 5:
Here is a relaxed structure of Th4CoTe2P from Alexandria. Energies are from PBE.

The structure in POSCAR format:
```
Th4CoTe2P
1.0
7.439 0.000 0.000
0.000 4.074 0.000
-2.374 0.000 7.443
Th Co Te P
4 1 2 1
Cartesian
1.130 0.000 1.480
0.069 2.037 5.892
4.995 2.037 1.551
3.935 0.000 5.963
0.000 2.037 0.000
-1.187 0.000 3.721
2.532 2.037 3.721
3.719 0.000 0.000
```

Results
N(E_F) (states/eV/f.u.): 4.6
Uncorrected energy (eV/atom): -7.102
Raw formation energy (meV per atom): -1043
SG: P2/m (10)

---

Entry 6:
Here is a relaxed structure of MoPdPtRh from Alexandria. Energies are from PBE.

The structure in POSCAR format:
```
MoPdPtRh
1.0
2.775 0.000 0.000
0.000 2.775 0.000
0.000 0.000 7.888
Mo Pd Pt Rh
1 1 1 1
Cartesian
0.000 0.000 0.000
0.000 0.000 3.853
1.388 1.388 5.929
1.388 1.388 1.809
```

Results
N(E_F) (states/eV/f.u.): 3.9
Uncorrected energy (eV/atom): -7.559
Energy relative to the elements (eV/atom): -0.2054
SG: P4mm (99)

---

- The highest uncorrected energy belongs to which entry?
  Sm2HoUAs4

---

- N(E_F) of number 1 (GdErTi)?
  3.9 states/eV/f.u.

---

- What is the N(E_F) in the sixth record?
  3.9 states/eV/f.u.

---

- The lowest uncorrected energy belongs to which entry?
  AcGd3